1.
# NaLaF4 PBE optimized geometry
# * calculated density: 3.4 g/cm³
# * formation energy from raw total energies: -3.65 eV per atom
# * spin magnetization: 0.09 μB per cell
data_NaLaF4
_chemical_formula_sum 'Na2 La2 F8'
_cell_length_a 4.632
_cell_length_b 7.542
_cell_length_c 6.906
_cell_angle_alpha 90.00
_cell_angle_beta 106.23
_cell_angle_gamma 90.00
_space_group_name_H-M_alt 'P 1 21/m 1'
_space_group_IT_number 11
loop_
_space_group_symop_operation_xyz
'x,y,z'
'-x,-y,-z'
'-x,y+1/2,-z'
'x,-y+1/2,z'
loop_
_atom_site_label
_atom_site_type_symbol
_atom_site_fract_x
_atom_site_fract_y
_atom_site_fract_z
_atom_site_occupancy
Na1 Na 0.243 0.250 0.050 1
La1 La 0.437 0.750 0.385 1
F1 F 0.093 0.250 0.683 1
F2 F 0.294 0.750 0.039 1
F3 F 0.378 0.064 0.318 1

2.
# NaLa2F PBE optimized geometry
# * calculated density: 4.1 g/cm³
# * formation energy from raw total energies: -0.98 eV per atom
# * excess energy over the best structure of this formula in the dataset: 7 meV/atom
# * spin magnetization: 0.00 μB per cell
data_NaLa2F
_chemical_formula_sum 'Na3 La6 F3'
_cell_length_a 3.8299
_cell_length_b 3.8299
_cell_length_c 30.3635
_cell_angle_alpha 90.00
_cell_angle_beta 90.00
_cell_angle_gamma 120.00
_space_group_name_H-M_alt 'R -3 m'
_space_group_IT_number 166
_space_group_name_Hall '-R 3 2"'
loop_
_atom_site_label
_atom_site_type_symbol
_atom_site_fract_x
_atom_site_fract_y
_atom_site_fract_z
_atom_site_occupancy
Na1 Na 0.0000 0.0000 0.0000 1
La1 La 0.0000 0.0000 0.1190 1
F1 F 0.0000 0.0000 0.5000 1

3.
# NaLa2F PBE optimized geometry
# * calculated density: 4.1 g/cm³
# * formation energy from raw total energies: -0.99 eV per atom
# * excess energy over the best structure of this formula in the dataset: 0 meV/atom
# * spin magnetization: 5.11 μB per cell
data_NaLa2F
_chemical_formula_sum 'Na4 La8 F4'
_cell_length_a 7.998
_cell_length_b 7.998
_cell_length_c 8.009
_cell_angle_alpha 90.00
_cell_angle_beta 90.00
_cell_angle_gamma 90.00
_space_group_name_H-M_alt 'I -4 2 d'
_space_group_IT_number 122
_space_group_name_Hall 'I -4 2bw'
loop_
_atom_site_label
_atom_site_type_symbol
_atom_site_fract_x
_atom_site_fract_y
_atom_site_fract_z
_atom_site_occupancy
Na1 Na 0.000 0.000 0.000 1
La1 La 0.137 0.250 0.625 1
F1 F 0.000 0.000 0.500 1

4.
# NaLaF3 PBE optimized geometry
# * calculated density: 5.0 g/cm³
# * formation energy from raw total energies: -2.85 eV per atom
# * excess energy over the best structure of this formula in the dataset: 309 meV/atom
# * spin magnetization: 0.80 μB per cell
data_NaLaF3
_chemical_formula_sum 'Na1 La1 F3'
_cell_length_a 4.164
_cell_length_b 4.164
_cell_length_c 4.164
_cell_angle_alpha 90.00
_cell_angle_beta 90.00
_cell_angle_gamma 90.00
_space_group_name_H-M_alt 'P m -3 m'
_space_group_IT_number 221
_space_group_name_Hall '-P 4 2 3'
loop_
_atom_site_label
_atom_site_type_symbol
_atom_site_fract_x
_atom_site_fract_y
_atom_site_fract_z
_atom_site_occupancy
Na1 Na 0.000 0.000 0.000 1
La1 La 0.500 0.500 0.500 1
F1 F 0.000 0.000 0.500 1